Y5MgMo2O12 PBE with a Hubbard U optimized geometry; crystal system = monoclinic; V = 13.79 Å³/atom; space group = Cm; energy above the lowest structure with this stoichiometry = 5.1 kJ/mol of atoms
1.0
1.439 -2.384 -6.559
5.990 0.281 -3.849
3.324 -6.663 0.968
Mg O Y Mo
1 12 5 2
direct
0.649 0.649 0.677
0.609 0.099 0.567
0.588 0.071 0.096
0.071 0.588 0.096
0.441 0.906 0.874
0.906 0.441 0.874
0.427 0.897 0.455
0.493 0.493 0.795
0.003 0.003 0.814
0.511 0.511 0.195
0.897 0.427 0.455
0.016 0.016 0.182
0.099 0.609 0.567
0.821 0.821 0.340
0.196 0.196 0.195
0.484 0.484 0.492
0.209 0.209 0.648
0.822 0.822 0.847
0.267 0.739 0.999
0.739 0.267 0.999